No. 1
First-principles (PBE) data for an optimized crystal structure of CsLiPrI5, as listed in Alexandria.

Output
VASP energy = -26.4 eV per formula unit
raw formation energy = -1.394 eV per atom
symmetry = C2/c

Unit cell a=8.806 b=8.806 c=11.888 alpha=103.67 beta=103.67 gamma=106.73
Fractional positions:
1 Cs 0.348 0.652 0.250
2 Cs 0.652 0.348 0.750
3 Li 0.692 0.308 0.250
4 Li 0.308 0.692 0.750
5 Pr 0.000 0.000 0.500
6 Pr 0.000 0.000 0.000
7 I 0.076 0.924 0.250
8 I 0.924 0.076 0.750
9 I 0.901 0.308 0.105
10 I 0.099 0.692 0.895
11 I 0.692 0.099 0.395
12 I 0.308 0.901 0.605
13 I 0.763 0.623 0.426
14 I 0.237 0.377 0.574
15 I 0.377 0.237 0.074
16 I 0.623 0.763 0.926

No. 2
First-principles (PBE) data for an optimized crystal structure of La2Sm5In4, as listed in Alexandria.

Output
VASP energy = -42.1 eV per formula unit
energy above the most stable polymorph in this dataset = 489 meV/atom
symmetry = Immm

Unit cell a=3.655 b=9.205 c=12.153 alpha=112.25 beta=98.65 gamma=90.00
Fractional positions:
1 La 0.115 0.115 0.229
2 La 0.885 0.885 0.771
3 Sm 0.163 0.475 0.325
4 Sm 0.837 0.525 0.675
5 Sm 0.163 0.850 0.325
6 Sm 0.500 0.000 0.000
7 Sm 0.837 0.150 0.675
8 In 0.749 0.749 0.497
9 In 0.000 0.324 0.000
10 In 0.251 0.251 0.503
11 In 0.000 0.676 0.000

No. 3
First-principles (PBE) data for an optimized crystal structure of Sm3Hg2Pb, as listed in Alexandria.

Output
VASP energy = -21.4 eV per formula unit
energy above the most stable polymorph in this dataset = 4 meV/atom
symmetry = P4/mmm

Unit cell a=3.766 b=3.766 c=11.874 alpha=90.00 beta=90.00 gamma=90.00
Fractional positions:
1 Sm 0.000 0.000 0.000
2 Sm 0.000 0.000 0.678
3 Sm 0.000 0.000 0.322
4 Hg 0.500 0.500 0.844
5 Hg 0.500 0.500 0.156
6 Pb 0.500 0.500 0.500

No. 4
First-principles (PBE) data for an optimized crystal structure of Dy4GaNi3, as listed in Alexandria.

Output
VASP energy = -42.6 eV per formula unit
symmetry = Pmm2

Unit cell a=3.719 b=4.298 c=10.453 alpha=90.00 beta=90.00 gamma=90.00
Fractional positions:
1 Dy 0.500 0.500 0.370
2 Dy 0.000 0.500 0.848
3 Dy 0.000 0.000 0.145
4 Dy 0.500 0.000 0.635
5 Ga 0.500 0.500 0.069
6 Ni 0.000 0.500 0.573
7 Ni 0.000 0.000 0.431
8 Ni 0.500 0.000 0.928